{"formula": "SrHg2As", "functional": "GGA-PBE", "state": "relaxed", "cell": [[6.338, 0.000, 0.000], [0.000, 6.537, 0.000], [0.000, 0.000, 5.521]], "species": ["Sr", "Sr", "Hg", "Hg", "Hg", "Hg", "As", "As"], "frac_coords": [[0.000, 0.000, 0.000], [0.500, 0.500, 0.000], [0.000, 0.273, 0.500], [0.000, 0.727, 0.500], [0.500, 0.227, 0.500], [0.500, 0.773, 0.500], [0.000, 0.500, 0.000], [0.500, 0.000, 0.000]], "final_energy_ev_per_atom": -2.17, "dos_ef_per_ev_fu": 1.528, "e_form_mev_per_atom": -435, "space_group": "Cmmm"}